Record 1
Computed, not measured: a crystal of In2Ga2Au relaxed with PBEsol at the meta-GGA SCAN level of DFT. Values from VASP.

Quantum ESPRESSO input file:
```
&SYSTEM
  ibrav = 0, nat = 10, ntyp = 3
/
ATOMIC_SPECIES
In 114.82 In.upf
Ga 69.72 Ga.upf
Au 196.97 Au.upf
CELL_PARAMETERS angstrom
4.733 0.000 0.000
0.000 6.652 0.000
0.000 0.000 6.652
ATOMIC_POSITIONS angstrom
In 2.367 4.493 5.484
In 2.367 5.484 2.159
Ga 0.000 5.743 4.235
Au 0.000 3.326 3.326
Ga 0.000 2.417 5.743
Au 0.000 0.000 0.000
In 2.367 1.167 4.493
In 2.367 2.159 1.167
Ga 0.000 0.909 2.417
Ga 0.000 4.235 0.909
```

Space-group type: No. 127
ΔE_f (meV per atom): -51
Calculated volume (Å³/cell): 209.4
Magnetic moment (μB/atom): 0.00
Uncorrected energy (eV per atom): -33.775

***

Record 2
Computed, not measured: a crystal of IrRuRh2 relaxed with PBEsol at the meta-GGA SCAN level of DFT. Values from VASP.

Quantum ESPRESSO input file:
```
&SYSTEM
  ibrav = 0, nat = 4, ntyp = 3
/
ATOMIC_SPECIES
Ir 192.22 Ir.upf
Ru 101.07 Ru.upf
Rh 102.91 Rh.upf
CELL_PARAMETERS angstrom
-2.259 -0.644 2.242
-1.140 -2.417 -1.843
3.323 -3.380 2.377
ATOMIC_POSITIONS angstrom
Ir -0.038 -3.221 1.388
Ru -1.700 -1.531 0.199
Rh 2.495 -2.538 1.785
Rh 0.827 -0.842 0.592
```

Space-group type: No. 123
ΔE_f (meV per atom): 321
Calculated volume (Å³/cell): 55.9
Magnetic moment (μB/atom): 0.34
Uncorrected energy (eV per atom): -43.046

***

Record 3
Computed, not measured: a crystal of Mg3Hg relaxed with PBEsol at the meta-GGA SCAN level of DFT. Values from VASP.

Quantum ESPRESSO input file:
```
&SYSTEM
  ibrav = 0, nat = 24, ntyp = 2
/
ATOMIC_SPECIES
Mg 24.30 Mg.upf
Hg 200.59 Hg.upf
CELL_PARAMETERS angstrom
-0.761 -2.125 -7.934
-4.034 -6.896 -2.054
-9.068 1.509 -3.823
ATOMIC_POSITIONS angstrom
Mg -9.609 -5.413 -8.322
Mg -8.189 -2.996 -6.989
Mg -7.823 -7.191 -10.189
Mg -5.673 -4.517 -6.823
Hg -7.175 -4.436 -9.444
Hg -1.333 -2.279 -0.679
Mg -6.815 -0.839 -8.749
Hg -7.978 -5.282 -5.025
Mg -5.056 -3.269 -4.048
Mg -8.244 -2.674 -3.902
Mg -10.654 -4.130 -5.395
Hg -0.509 -1.423 -5.313
Mg -6.040 -0.321 -3.623
Mg -8.132 -0.021 -5.964
Hg -5.641 -1.550 -6.249
Mg -11.981 -4.677 -10.463
Mg -7.234 -7.194 -7.007
Mg -3.022 -2.860 -6.468
Mg -1.882 -2.836 -3.348
Mg -5.407 -6.586 -4.467
Mg -4.630 -3.149 -9.406
Hg -2.953 -5.320 -3.997
Mg -4.927 -6.320 -9.291
Mg -9.446 -2.620 -9.849
```

Space-group type: No. 155
ΔE_f (meV per atom): -268
Calculated volume (Å³/cell): 515.2
Magnetic moment (μB/atom): 0.00
Uncorrected energy (eV per atom): -21.040

***

Record 4
Computed, not measured: a crystal of Li2YCu2 relaxed with PBEsol at the meta-GGA SCAN level of DFT. Values from VASP.

Quantum ESPRESSO input file:
```
&SYSTEM
  ibrav = 0, nat = 5, ntyp = 3
/
ATOMIC_SPECIES
Cu 63.55 Cu.upf
Y 88.91 Y.upf
Li 6.94 Li.upf
CELL_PARAMETERS angstrom
-0.604 1.137 -3.470
-2.736 -2.470 -0.333
-2.400 4.893 3.994
ATOMIC_POSITIONS angstrom
Cu -2.470 0.164 -1.490
Cu -3.270 3.396 1.681
Y 0.000 0.000 0.000
Li -2.337 2.682 -0.689
Li -3.403 0.879 0.880
```

Space-group type: No. 139
ΔE_f (meV per atom): -113
Calculated volume (Å³/cell): 85.3
Magnetic moment (μB/atom): 0.00
Uncorrected energy (eV per atom): -12.718

***

Record 5
Computed, not measured: a crystal of TiPtSe2 relaxed with PBEsol at the meta-GGA SCAN level of DFT. Values from VASP.

Quantum ESPRESSO input file:
```
&SYSTEM
  ibrav = 0, nat = 4, ntyp = 3
/
ATOMIC_SPECIES
Se 78.96 Se.upf
Pt 195.08 Pt.upf
Ti 47.87 Ti.upf
CELL_PARAMETERS angstrom
3.560 0.000 0.000
1.780 3.083 0.000
1.780 1.028 7.792
ATOMIC_POSITIONS angstrom
Se 5.340 3.083 2.460
Pt 3.560 2.055 3.896
Se 1.780 1.028 5.332
Ti 0.000 0.000 0.000
```

Energy relative to the elements, uncorrected (eV per atom): -0.052
Space-group type: No. 166
Calculated volume (Å³/cell): 85.5
Magnetic moment (μB/atom): 0.56
Uncorrected energy (eV per atom): -31.647

***

Record 6
Computed, not measured: a crystal of BeSb2W relaxed with PBEsol at the meta-GGA SCAN level of DFT. Values from VASP.

Quantum ESPRESSO input file:
```
&SYSTEM
  ibrav = 0, nat = 4, ntyp = 3
/
ATOMIC_SPECIES
W 183.84 W.upf
Be 9.01 Be.upf
Sb 121.76 Sb.upf
CELL_PARAMETERS angstrom
3.363 0.000 0.000
0.000 4.626 0.021
0.000 -0.729 4.568
ATOMIC_POSITIONS angstrom
W 1.682 0.000 0.000
Be 1.682 1.948 2.295
Sb 0.000 2.313 0.011
Sb 0.000 -0.364 2.284
```

Energy relative to the elements, uncorrected (eV per atom): 0.851
Space-group type: No. 65
Calculated volume (Å³/cell): 71.1
Magnetic moment (μB/atom): 0.00
Uncorrected energy (eV per atom): -36.290